1.
First-principles (PBE) data for crystalline Ho3ErTh2P6 at its relaxed geometry, as listed in Alexandria via LeMat-Bulk.

Properties
Density of states at the Fermi level = 3.74 states/eV per cell
Space-group type = No. 12
Energy of formation = -1597 meV per atom

Unit cell a=9.0298 b=9.0298 c=8.0651 alpha=102.80 beta=102.80 gamma=25.92
With the nearest neighbours (Å) after each atom.
Sites, in units of the cell vectors:
Ho 0.0000 0.0000 0.0000  6 P 2.83-2.86
Ho 0.3339 0.3339 0.6658  6 P 2.81-2.88
Ho 0.6661 0.6661 0.3342  6 P 2.81-2.88
Er 0.0000 0.0000 0.5000  6 P 2.85
Th 0.3354 0.3354 0.1703  6 P 2.86-2.92
Th 0.6646 0.6646 0.8297  6 P 2.86-2.92
P 0.1650 0.1650 0.0878  3 Ho 2.83, 3 Th 2.90-2.92
P 0.1660 0.1660 0.5766  3 Ho 2.81-2.88, 1 Er 2.85, 2 Th 2.88
P 0.4978 0.4978 0.7480  3 Ho 2.81-2.86, 2 Er 2.85, 1 Th 2.86
P 0.5022 0.5022 0.2520  3 Ho 2.81-2.86, 2 Er 2.85, 1 Th 2.86
P 0.8340 0.8340 0.4234  3 Ho 2.81-2.88, 1 Er 2.85, 2 Th 2.88
P 0.8350 0.8350 0.9122  3 Ho 2.83, 3 Th 2.90-2.92



2.
First-principles (PBE) data for crystalline V3SnBr8 at its relaxed geometry, as listed in Alexandria via LeMat-Bulk.

Properties
Final energy = -4.494 eV/atom
Space-group type = No. 12

Unit cell a=7.9588 b=7.9588 c=8.3258 alpha=119.26 beta=119.26 gamma=60.01
With the nearest neighbours (Å) after each atom.
Sites, in units of the cell vectors:
V 0.0000 0.0000 0.0000  6 Br 2.67-2.69
V 0.0000 0.5000 0.0000  6 Br 2.67-2.69
V 0.5000 0.0000 0.0000  6 Br 2.67-2.69
Sn 0.5000 0.5000 0.0000  6 Br 2.94
Br 0.2095 0.7581 0.2207  2 V 2.67, 1 Sn 2.94
Br 0.2364 0.2364 0.2046  3 V 2.69
Br 0.2419 0.2419 0.7793  2 V 2.67, 1 Sn 2.94
Br 0.2419 0.7905 0.7793  2 V 2.67, 1 Sn 2.94
Br 0.7581 0.2095 0.2207  2 V 2.67, 1 Sn 2.94
Br 0.7581 0.7581 0.2207  2 V 2.67, 1 Sn 2.94
Br 0.7636 0.7636 0.7954  3 V 2.69
Br 0.7905 0.2419 0.7793  2 V 2.67, 1 Sn 2.94



3.
First-principles (PBE) data for crystalline SrLi2TbSn2 at its relaxed geometry, as listed in Alexandria via LeMat-Bulk.

Properties
Density of states at the Fermi level = 2.50 states/eV per cell
Space-group type = No. 164
Energy of formation = -603 meV per atom

Unit cell a=4.8360 b=4.8360 c=7.8184 alpha=90.00 beta=90.00 gamma=120.00
With the nearest neighbours (Å) after each atom.
Sites, in units of the cell vectors:
Sr 0.0000 0.0000 0.0000  6 Sn 3.59, 6 Li 3.66, 2 Tb 3.91
Li 0.3333 0.6667 0.6970  3 Sn 2.79
Li 0.6667 0.3333 0.3030  3 Sn 2.79
Tb 0.0000 0.0000 0.5000  6 Li 3.19, 6 Sn 3.25
Sn 0.3333 0.6667 0.2885  3 Li 2.79
Sn 0.6667 0.3333 0.7115  3 Li 2.79



4.
First-principles (PBE) data for crystalline RbSbIr3 at its relaxed geometry, as listed in Alexandria via LeMat-Bulk.

Properties
Final energy = -4.999 eV/atom
Density of states at the Fermi level = 4.52 states/eV per cell
Space-group type = No. 221

Unit cell a=5.0055 b=5.0055 c=5.0055 alpha=90.00 beta=90.00 gamma=90.00
With the nearest neighbours (Å) after each atom.
Sites, in units of the cell vectors:
Rb 0.0000 0.0000 0.0000  12 Ir 3.54
Sb 0.5000 0.5000 0.5000  6 Ir 2.50
Ir 0.0000 0.5000 0.5000  2 Sb 2.50
Ir 0.5000 0.0000 0.5000  2 Sb 2.50
Ir 0.5000 0.5000 0.0000  2 Sb 2.50



5.
First-principles (PBE) data for crystalline NdYPa2N4 at its relaxed geometry, as listed in Alexandria via LeMat-Bulk.

Properties
Final energy = -9.546 eV/atom
Density of states at the Fermi level = 3.98 states/eV per cell
Space-group type = No. 10

Unit cell a=6.1092 b=3.5330 c=6.1404 alpha=90.00 beta=109.56 gamma=90.00
With the nearest neighbours (Å) after each atom.
Sites, in units of the cell vectors:
Nd 0.0000 0.0000 0.0000  6 N 2.62
Y 0.0000 0.5000 0.5000  6 N 2.56
Pa 0.5000 0.0000 0.5000  6 N 2.38-2.39
Pa 0.5000 0.5000 0.0000  6 N 2.45
N 0.2726 0.0000 0.7495  3 Pa 2.39-2.45, 2 Y 2.56, 1 Nd 2.62
N 0.2793 0.5000 0.2686  3 Pa 2.38-2.45, 1 Y 2.56, 2 Nd 2.62
N 0.7207 0.5000 0.7314  3 Pa 2.38-2.45, 1 Y 2.56, 2 Nd 2.62
N 0.7274 0.0000 0.2505  3 Pa 2.39-2.45, 2 Y 2.56, 1 Nd 2.62



6.
First-principles (PBE) data for crystalline FeSe at its relaxed geometry, as listed in Alexandria via LeMat-Bulk.

Properties
Final energy = -6.014 eV/atom
Density of states at the Fermi level = 4.58 states/eV per cell
Space-group type = No. 62

Unit cell a=5.3846 b=3.5474 c=5.9091 alpha=90.00 beta=90.00 gamma=90.00
With the nearest neighbours (Å) after each atom.
Sites, in units of the cell vectors:
Fe 0.0121 0.2500 0.2009  6 Se 2.34-2.52
Fe 0.4879 0.7500 0.7009  6 Se 2.34-2.52
Fe 0.5121 0.2500 0.2991  6 Se 2.34-2.52
Fe 0.9879 0.7500 0.7991  6 Se 2.34-2.52
Se 0.2129 0.2500 0.5855  6 Fe 2.34-2.52
Se 0.2871 0.7500 0.0855  6 Fe 2.34-2.52
Se 0.7129 0.2500 0.9145  6 Fe 2.34-2.52
Se 0.7871 0.7500 0.4145  6 Fe 2.34-2.52



7.
First-principles (PBE) data for crystalline Rb2BaPbBr6 at its relaxed geometry, as listed in Alexandria via LeMat-Bulk.

Properties
Final energy = -3.325 eV/atom
Density of states at the Fermi level = 0.00 states/eV per cell
Space-group type = No. 225

Unit cell a=8.7044 b=8.7044 c=8.7044 alpha=60.00 beta=60.00 gamma=60.00
With the nearest neighbours (Å) after each atom.
Sites, in units of the cell vectors:
Rb 0.2500 0.2500 0.2500  12 Br 4.35
Rb 0.7500 0.7500 0.7500  12 Br 4.35
Ba 0.0000 0.0000 0.0000  6 Br 3.15
Pb 0.5000 0.5000 0.5000  6 Br 3.00
Br 0.2560 0.2560 0.7440  1 Pb 3.00, 1 Ba 3.15
Br 0.2560 0.7440 0.2560  1 Pb 3.00, 1 Ba 3.15
Br 0.2560 0.7440 0.7440  1 Pb 3.00, 1 Ba 3.15
Br 0.7440 0.2560 0.2560  1 Pb 3.00, 1 Ba 3.15
Br 0.7440 0.2560 0.7440  1 Pb 3.00, 1 Ba 3.15
Br 0.7440 0.7440 0.2560  1 Pb 3.00, 1 Ba 3.15



8.
First-principles (PBE) data for crystalline CaScI2 at its relaxed geometry, as listed in Alexandria via LeMat-Bulk.

Properties
Final energy = -3.263 eV/atom
Density of states at the Fermi level = 9.50 states/eV per cell
Space-group type = No. 122

Unit cell a=8.4258 b=8.4258 c=8.4258 alpha=132.18 beta=132.18 gamma=69.95
With the nearest neighbours (Å) after each atom.
Sites, in units of the cell vectors:
Ca 0.0000 0.0000 0.0000  4 I 3.07
Ca 0.7500 0.2500 0.5000  4 I 3.07
Sc 0.2500 0.7500 0.5000  4 I 2.87
Sc 0.5000 0.5000 0.0000  4 I 2.87
I 0.1502 0.6250 0.0252  2 Sc 2.87, 2 Ca 3.07
I 0.3750 0.4002 0.5252  2 Sc 2.87, 2 Ca 3.07
I 0.5998 0.1250 0.9748  2 Sc 2.87, 2 Ca 3.07
I 0.8750 0.8498 0.4748  2 Sc 2.87, 2 Ca 3.07



9.
First-principles (PBE) data for crystalline SrIn2Pt at its relaxed geometry, as listed in Alexandria via LeMat-Bulk.

Properties
Density of states at the Fermi level = 2.45 states/eV per cell
Space-group type = No. 71
Energy of formation = -458 meV per atom

Unit cell a=6.2259 b=6.2259 c=6.2259 alpha=146.29 beta=128.72 gamma=62.78
With the nearest neighbours (Å) after each atom.
Sites, in units of the cell vectors:
Sr 0.0000 0.0000 0.0000  4 Pt 3.24, 8 In 3.46-3.63, 2 Sr 3.61
In 0.2960 0.7960 0.5000  2 Pt 2.82
In 0.7040 0.2040 0.5000  2 Pt 2.82
Pt 0.5000 0.5000 0.0000  4 In 2.82



10.
First-principles (PBE) data for crystalline ScTiSn2 at its relaxed geometry, as listed in Alexandria via LeMat-Bulk.

Properties
Density of states at the Fermi level = 4.62 states/eV per cell
Space-group type = No. 122
Energy of formation = -153 meV per atom

Unit cell a=6.2872 b=6.2872 c=6.2872 alpha=103.92 beta=103.92 gamma=121.26
With the nearest neighbours (Å) after each atom.
Sites, in units of the cell vectors:
Sc 0.0000 0.0000 0.0000  4 Sn 2.92, 2 Ti 3.08
Sc 0.7500 0.2500 0.5000  4 Sn 2.92, 2 Ti 3.08
Ti 0.2500 0.7500 0.5000  4 Sn 2.78, 2 Sc 3.08
Ti 0.5000 0.5000 0.0000  4 Sn 2.78, 2 Sc 3.08
Sn 0.1385 0.6250 0.0135  2 Ti 2.78, 2 Sc 2.92, 2 Sn 3.09
Sn 0.3750 0.3885 0.5135  2 Ti 2.78, 2 Sc 2.92, 2 Sn 3.09
Sn 0.6115 0.1250 0.9865  2 Ti 2.78, 2 Sc 2.92, 2 Sn 3.09
Sn 0.8750 0.8615 0.4865  2 Ti 2.78, 2 Sc 2.92, 2 Sn 3.09



11.
First-principles (PBE) data for crystalline Tb2Pr2Cd at its relaxed geometry, as listed in Alexandria via LeMat-Bulk.

Properties
Density of states at the Fermi level = 7.43 states/eV per cell
Space-group type = No. 139
Energy of formation = -115 meV per atom

Unit cell a=11.9834 b=11.9834 c=11.9834 alpha=162.38 beta=162.38 gamma=25.02
With the nearest neighbours (Å) after each atom.
Sites, in units of the cell vectors:
Tb 0.0849 0.0849 0.0000  4 Cd 3.27, 4 Pr 3.63
Tb 0.9151 0.9151 0.0000  4 Cd 3.27, 4 Pr 3.63
Pr 0.3069 0.3069 0.0000  4 Tb 3.63, 8 Pr 3.67-3.72
Pr 0.6931 0.6931 0.0000  4 Tb 3.63, 8 Pr 3.67-3.72
Cd 0.5000 0.5000 0.0000  8 Tb 3.27



12.
First-principles (PBE) data for crystalline Ce6MgRu8 at its relaxed geometry, as listed in Alexandria via LeMat-Bulk.

Properties
Density of states at the Fermi level = 11.58 states/eV per cell
Space-group type = No. 148
Energy of formation = -186 meV per atom

Unit cell a=6.9711 b=6.9711 c=6.9711 alpha=74.92 beta=74.92 gamma=74.92
With the nearest neighbours (Å) after each atom.
Sites, in units of the cell vectors:
Ce 0.0589 0.7370 0.5445  1 Ru 2.39
Ce 0.2630 0.4555 0.9411  1 Ru 2.39
Ce 0.4555 0.9411 0.2630  1 Ru 2.39
Ce 0.5445 0.0589 0.7370  1 Ru 2.39
Ce 0.7370 0.5445 0.0589  1 Ru 2.39
Ce 0.9411 0.2630 0.4555  1 Ru 2.39
Mg 0.0000 0.0000 0.0000  6 Ru 2.65
Ru 0.0840 0.3429 0.7567  1 Ce 2.39, 1 Mg 2.65
Ru 0.2433 0.9160 0.6571  1 Ce 2.39, 1 Mg 2.65
Ru 0.3385 0.3385 0.3385  3 Ce 2.82, 3 Ru 3.00
Ru 0.3429 0.7567 0.0840  1 Ce 2.39, 1 Mg 2.65
Ru 0.6571 0.2433 0.9160  1 Ce 2.39, 1 Mg 2.65
Ru 0.6615 0.6615 0.6615  3 Ce 2.82, 3 Ru 3.00
Ru 0.7567 0.0840 0.3429  1 Ce 2.39, 1 Mg 2.65
Ru 0.9160 0.6571 0.2433  1 Ce 2.39, 1 Mg 2.65



13.
First-principles (PBE) data for crystalline Y3Cd9Ag2 at its relaxed geometry, as listed in Alexandria via LeMat-Bulk.

Properties
Density of states at the Fermi level = 7.89 states/eV per cell
Space-group type = No. 71
Energy of formation = -234 meV per atom

Unit cell a=8.6359 b=8.6359 c=8.6359 alpha=147.84 beta=103.35 gamma=85.56
With the nearest neighbours (Å) after each atom.
Sites, in units of the cell vectors:
Y 0.0000 0.0000 0.0000  12 Cd 3.26-3.48
Y 0.2889 0.2889 0.0000  2 Ag 3.14, 10 Cd 3.38-3.51
Y 0.7111 0.7111 0.0000  2 Ag 3.14, 10 Cd 3.38-3.51
Cd 0.0059 0.6363 0.3696  4 Cd 2.79-2.97, 1 Ag 2.89
Cd 0.1351 0.8572 0.2778  4 Cd 2.87-2.99, 2 Ag 3.09
Cd 0.2667 0.6363 0.6304  4 Cd 2.79-2.97, 1 Ag 2.89
Cd 0.4206 0.1428 0.2778  4 Cd 2.87-2.99, 2 Ag 3.09
Cd 0.5000 0.0000 0.5000  4 Ag 2.90, 4 Cd 2.99
Cd 0.5794 0.8572 0.7222  4 Cd 2.87-2.99, 2 Ag 3.09
Cd 0.7333 0.3637 0.3696  4 Cd 2.79-2.97, 1 Ag 2.89
Cd 0.8649 0.1428 0.7222  4 Cd 2.87-2.99, 2 Ag 3.09
Cd 0.9941 0.3637 0.6304  4 Cd 2.79-2.97, 1 Ag 2.89
Ag 0.3471 0.5000 0.8471  8 Cd 2.89-3.09, 2 Y 3.14
Ag 0.6529 0.5000 0.1529  8 Cd 2.89-3.09, 2 Y 3.14